w:
# CuOs2W | the Alexandria database | PBE-GGA | relaxed
# DOS(E_F)	0.888	states/eV per atom
data_CuOs2W
_chemical_formula_sum 'Cu4 Os8 W4'
_space_group_name_H-M_alt 'F m -3 m'
_space_group_IT_number 225
_space_group_name_Hall '-F 4 2 3'
_cell_length_a 6.134
_cell_length_b 6.134
_cell_length_c 6.134
_cell_angle_alpha 90.00
_cell_angle_beta 90.00
_cell_angle_gamma 90.00
loop_
_atom_site_label
_atom_site_type_symbol
_atom_site_fract_x
_atom_site_fract_y
_atom_site_fract_z
Cu1 Cu 0.000 0.000 0.000
Os1 Os 0.250 0.250 0.250
W1 W 0.000 0.000 0.500

=====

x:
# CuOs2W | the Alexandria database | PBE-GGA | relaxed
# DOS(E_F)	1.142	states/eV per atom
data_CuOs2W
_chemical_formula_sum 'Cu2 Os4 W2'
_space_group_name_H-M_alt 'C m m 2'
_space_group_IT_number 35
_cell_length_a 2.849
_cell_length_b 4.524
_cell_length_c 9.148
_cell_angle_alpha 90.00
_cell_angle_beta 90.00
_cell_angle_gamma 90.00
loop_
_space_group_symop_operation_xyz
'x,y,z'
'-x,-y,z'
'-x,y,z'
'x,-y,z'
'x+1/2,y+1/2,z'
'-x+1/2,-y+1/2,z'
'-x+1/2,y+1/2,z'
'x+1/2,-y+1/2,z'
loop_
_atom_site_label
_atom_site_type_symbol
_atom_site_fract_x
_atom_site_fract_y
_atom_site_fract_z
Cu1 Cu 0.000 0.000 0.000
Os1 Os 0.000 0.000 0.500
Os2 Os 0.000 0.500 0.246
W1 W 0.000 0.500 0.751

=====

Which of them is the least stable? Correct choice: x.

=====

w:
# YCu3Os | the Alexandria database | PBE-GGA | relaxed
# DOS(E_F)	0.763	states/eV per atom
data_YCu3Os
_chemical_formula_sum 'Y1 Cu3 Os1'
_space_group_name_H-M_alt 'P m -3 m'
_space_group_IT_number 221
_space_group_name_Hall '-P 4 2 3'
_cell_length_a 4.635
_cell_length_b 4.635
_cell_length_c 4.635
_cell_angle_alpha 90.00
_cell_angle_beta 90.00
_cell_angle_gamma 90.00
loop_
_atom_site_label
_atom_site_type_symbol
_atom_site_fract_x
_atom_site_fract_y
_atom_site_fract_z
Y1 Y 0.000 0.000 0.000
Cu1 Cu 0.000 0.500 0.500
Os1 Os 0.500 0.500 0.500

=====

x:
# YCu3Os | the Alexandria database | PBE-GGA | relaxed
# DOS(E_F)	0.113	states/eV per atom
data_YCu3Os
_chemical_formula_sum 'Y1 Cu3 Os1'
_space_group_name_H-M_alt 'P m -3 m'
_space_group_IT_number 221
_space_group_name_Hall '-P 4 2 3'
_cell_length_a 4.700
_cell_length_b 4.700
_cell_length_c 4.700
_cell_angle_alpha 90.00
_cell_angle_beta 90.00
_cell_angle_gamma 90.00
loop_
_atom_site_label
_atom_site_type_symbol
_atom_site_fract_x
_atom_site_fract_y
_atom_site_fract_z
Y1 Y 0.000 0.000 0.000
Cu1 Cu 0.000 0.000 0.500
Os1 Os 0.500 0.500 0.500

=====

Which of them is the least stable? Correct choice: x.

=====

w:
# ZrCuOs2 | the Alexandria database | PBE-GGA | relaxed
# DOS(E_F)	0.691	states/eV per atom
data_ZrCuOs2
_chemical_formula_sum 'Zr1 Cu1 Os2'
_space_group_name_H-M_alt 'P 4 m m'
_space_group_IT_number 99
_cell_length_a 3.242
_cell_length_b 3.242
_cell_length_c 5.971
_cell_angle_alpha 90.00
_cell_angle_beta 90.00
_cell_angle_gamma 90.00
loop_
_space_group_symop_operation_xyz
'x,y,z'
'-y,x,z'
'-x,-y,z'
'y,-x,z'
'-x,y,z'
'y,x,z'
'x,-y,z'
'-y,-x,z'
loop_
_atom_site_label
_atom_site_type_symbol
_atom_site_fract_x
_atom_site_fract_y
_atom_site_fract_z
Zr1 Zr 0.000 0.000 0.000
Cu1 Cu 0.500 0.500 0.268
Os1 Os 0.000 0.000 0.470
Os2 Os 0.500 0.500 0.723

=====

x:
# ZrCuOs2 | the Alexandria database | PBE-GGA | relaxed
# DOS(E_F)	0.930	states/eV per atom
data_ZrCuOs2
_chemical_formula_sum 'Zr2 Cu2 Os4'
_space_group_name_H-M_alt 'C 1 2/m 1'
_space_group_IT_number 12
_cell_length_a 9.053
_cell_length_b 2.959
_cell_length_c 4.806
_cell_angle_alpha 90.00
_cell_angle_beta 102.85
_cell_angle_gamma 90.00
loop_
_space_group_symop_operation_xyz
'x,y,z'
'-x,-y,-z'
'-x,y,-z'
'x,-y,z'
'x+1/2,y+1/2,z'
'-x+1/2,-y+1/2,-z'
'-x+1/2,y+1/2,-z'
'x+1/2,-y+1/2,z'
loop_
_atom_site_label
_atom_site_type_symbol
_atom_site_fract_x
_atom_site_fract_y
_atom_site_fract_z
Zr1 Zr 0.000 0.000 0.000
Cu1 Cu 0.000 0.500 0.500
Os1 Os 0.243 0.000 0.721

=====

y:
# ZrCuOs2 | the Alexandria database | PBE-GGA | relaxed
# DOS(E_F)	0.858	states/eV per atom
data_ZrCuOs2
_chemical_formula_sum 'Zr3 Cu3 Os6'
_space_group_name_H-M_alt 'R 3 m'
_space_group_IT_number 160
_space_group_name_Hall 'R 3 -2"'
_cell_length_a 2.7927
_cell_length_b 2.7927
_cell_length_c 27.9155
_cell_angle_alpha 90.00
_cell_angle_beta 90.00
_cell_angle_gamma 120.00
loop_
_atom_site_label
_atom_site_type_symbol
_atom_site_fract_x
_atom_site_fract_y
_atom_site_fract_z
Zr1 Zr 0.0000 0.0000 0.0000
Cu1 Cu 0.0000 0.0000 0.2455
Os1 Os 0.0000 0.0000 0.5010
Os2 Os 0.0000 0.0000 0.7593

=====

Which of them is the least stable? Correct choice: y.

=====

w:
# ZrCuOs2 | the Alexandria database | PBE-GGA | relaxed
# DOS(E_F)	1.135	states/eV per atom
data_ZrCuOs2
_chemical_formula_sum 'Zr2 Cu2 Os4'
_space_group_name_H-M_alt 'C 1 m 1'
_space_group_IT_number 8
_cell_length_a 10.074
_cell_length_b 2.977
_cell_length_c 4.625
_cell_angle_alpha 90.00
_cell_angle_beta 115.86
_cell_angle_gamma 90.00
loop_
_space_group_symop_operation_xyz
'x,y,z'
'x,-y,z'
'x+1/2,y+1/2,z'
'x+1/2,-y+1/2,z'
loop_
_atom_site_label
_atom_site_type_symbol
_atom_site_fract_x
_atom_site_fract_y
_atom_site_fract_z
Zr1 Zr 0.000 0.000 0.000
Cu1 Cu 0.241 0.000 0.863
Os1 Os 0.001 0.500 0.494
Os2 Os 0.265 0.500 0.393

=====

x:
# ZrCuOs2 | the Alexandria database | PBE-GGA | relaxed
# DOS(E_F)	1.278	states/eV per atom
data_ZrCuOs2
_chemical_formula_sum 'Zr1 Cu1 Os2'
_space_group_name_H-M_alt 'P 4/m m m'
_space_group_IT_number 123
_space_group_name_Hall '-P 4 2'
_cell_length_a 3.945
_cell_length_b 3.945
_cell_length_c 3.965
_cell_angle_alpha 90.00
_cell_angle_beta 90.00
_cell_angle_gamma 90.00
loop_
_atom_site_label
_atom_site_type_symbol
_atom_site_fract_x
_atom_site_fract_y
_atom_site_fract_z
Zr1 Zr 0.000 0.000 0.000
Cu1 Cu 0.500 0.500 0.000
Os1 Os 0.000 0.500 0.500

=====

y:
# ZrCuOs2 | the Alexandria database | PBE-GGA | relaxed
# DOS(E_F)	0.994	states/eV per atom
data_ZrCuOs2
_chemical_formula_sum 'Zr1 Cu1 Os2'
_space_group_name_H-M_alt 'P 4 m m'
_space_group_IT_number 99
_cell_length_a 2.848
_cell_length_b 2.848
_cell_length_c 7.714
_cell_angle_alpha 90.00
_cell_angle_beta 90.00
_cell_angle_gamma 90.00
loop_
_space_group_symop_operation_xyz
'x,y,z'
'-y,x,z'
'-x,-y,z'
'y,-x,z'
'-x,y,z'
'y,x,z'
'x,-y,z'
'-y,-x,z'
loop_
_atom_site_label
_atom_site_type_symbol
_atom_site_fract_x
_atom_site_fract_y
_atom_site_fract_z
Zr1 Zr 0.000 0.000 0.000
Cu1 Cu 0.500 0.500 0.262
Os1 Os 0.000 0.000 0.493
Os2 Os 0.500 0.500 0.708

=====

z:
# ZrCuOs2 | the Alexandria database | PBE-GGA | relaxed
# DOS(E_F)	0.734	states/eV per atom
data_ZrCuOs2
_chemical_formula_sum 'Zr4 Cu4 Os8'
_space_group_name_H-M_alt 'I -4 2 d'
_space_group_IT_number 122
_space_group_name_Hall 'I -4 2bw'
_cell_length_a 3.958
_cell_length_b 3.958
_cell_length_c 18.074
_cell_angle_alpha 90.00
_cell_angle_beta 90.00
_cell_angle_gamma 90.00
loop_
_atom_site_label
_atom_site_type_symbol
_atom_site_fract_x
_atom_site_fract_y
_atom_site_fract_z
Zr1 Zr 0.000 0.000 0.000
Cu1 Cu 0.000 0.000 0.500
Os1 Os 0.174 0.250 0.625

=====

Which of them is the least stable? Correct choice: z.